Cs9Rb3Pd2 after structural relaxation, computed with PBE-GGA.

Results
V = 1211 Å³/f.u.
energy of formation from the pure elements = 31.1 meV per atom

abc: 13.501 13.501 13.501
angles: 83.92 83.92 83.92
Sites, in units of the cell vectors:
Cs 0.745 0.915 0.070
Cs 0.085 0.930 0.255
Cs 0.250 0.395 0.105
Cs 0.585 0.755 0.430
Cs 0.605 0.895 0.750
Cs 0.895 0.750 0.605
Cs 0.245 0.570 0.415
Cs 0.570 0.415 0.245
Cs 0.930 0.255 0.085
Cs 0.070 0.745 0.915
Cs 0.430 0.585 0.755
Cs 0.395 0.105 0.250
Cs 0.755 0.430 0.585
Cs 0.105 0.250 0.395
Cs 0.415 0.245 0.570
Cs 0.750 0.605 0.895
Cs 0.915 0.070 0.745
Cs 0.255 0.085 0.930
Rb 0.408 0.750 0.092
Rb 0.250 0.908 0.592
Rb 0.908 0.592 0.250
Rb 0.092 0.408 0.750
Rb 0.750 0.092 0.408
Rb 0.592 0.250 0.908
Pd 0.157 0.157 0.157
Pd 0.657 0.657 0.657
Pd 0.843 0.843 0.843
Pd 0.343 0.343 0.343